Here is crystalline Al3P at its relaxed geometry from the Alexandria database. Energies are from PBE.

- ΔE_f (eV per atom) = 0.178
- total DFT energy (no corrections) (eV/atom) = -3.98
- M_tot (μB per formula unit) = 0.0

Cell lengths 2.9279, 2.9279, 8.6929 Å; angles 90.00, 90.00, 120.00 degrees
Closest atoms and distances in Å follow each position.
Element x y z (fractional)
Al 0.0000 0.0000 0.5191  3 P 2.62, 9 Al 2.89-2.93
P 0.6667 0.3333 0.7500  6 Al 2.62, 6 P 2.93
Al 0.6667 0.3333 0.2500  12 Al 2.89-2.93
Al 0.0000 0.0000 0.9809  3 P 2.62, 9 Al 2.89-2.93

Here is crystalline AlP3 at its relaxed geometry from the Alexandria database. Energies are from PBE.

- ΔE_f (eV per atom) = 0.135
- total DFT energy (no corrections) (eV/atom) = -4.86
- M_tot (μB per formula unit) = 0.0

Cell lengths 4.8086, 4.9675, 5.5370 Å; angles 90.00, 90.00, 90.00 degrees
Closest atoms and distances in Å follow each position.
Element x y z (fractional)
Al 0.0000 0.0000 0.5896  6 P 2.42-2.59
P 0.0000 0.2787 0.9839  3 P 2.20-2.43
P 0.0000 0.5000 0.4674  4 Al 2.42-2.57
P 0.5000 0.7787 0.0161  3 P 2.20-2.43
P 0.0000 0.7213 0.9839  3 P 2.20-2.43
P 0.5000 0.0000 0.5326  4 Al 2.42-2.57
Al 0.5000 0.5000 0.4104  6 P 2.42-2.59
P 0.5000 0.2213 0.0161  3 P 2.20-2.43

Here is crystalline AlP3 at its relaxed geometry from the Alexandria database. Energies are from PBE.

- ΔE_f (eV per atom) = 0.511
- total DFT energy (no corrections) (eV/atom) = -4.48
- M_tot (μB per formula unit) = 0.0

Cell lengths 3.9035, 3.9035, 3.9035 Å; angles 90.00, 90.00, 90.00 degrees
Closest atoms and distances in Å follow each position.
Element x y z (fractional)
P 0.5000 0.0000 0.5000  4 Al 2.76, 8 P 2.76
P 0.0000 0.5000 0.5000  4 Al 2.76, 8 P 2.76
P 0.5000 0.5000 0.0000  4 Al 2.76, 8 P 2.76
Al 0.0000 0.0000 0.0000  12 P 2.76

Here is crystalline Al2P at its relaxed geometry from the Alexandria database. Energies are from PBE.

- ΔE_f (eV per atom) = 0.262
- total DFT energy (no corrections) (eV/atom) = -4.04
- M_tot (μB per formula unit) = 0.0

Cell lengths 5.4248, 5.4248, 9.4983 Å; angles 90.00, 90.00, 120.00 degrees
Closest atoms and distances in Å follow each position.
Element x y z (fractional)
P 0.3333 0.6667 0.5565  3 Al 2.43
Al 0.0000 0.0000 0.5000  6 Al 2.83
Al 0.3289 0.1645 0.2500  2 P 2.43, 2 Al 2.68
Al 0.8355 0.1645 0.2500  2 P 2.43, 2 Al 2.68
Al 0.8355 0.6711 0.2500  2 P 2.43, 2 Al 2.68
Al 0.1645 0.3289 0.7500  2 P 2.43, 2 Al 2.68
P 0.6667 0.3333 0.0565  3 Al 2.43
Al 0.6711 0.8355 0.7500  2 P 2.43, 2 Al 2.68
Al 0.0000 0.0000 0.0000  6 Al 2.83
P 0.6667 0.3333 0.4435  3 Al 2.43
P 0.3333 0.6667 0.9435  3 Al 2.43
Al 0.1645 0.8355 0.7500  2 P 2.43, 2 Al 2.68